# 1
A geometry-optimized Sc2TcNiAu structure, computed with PBE-GGA.

Lattice parameters (Å, degrees): 5.0287 5.0287 4.6094 90.00 90.00 90.00
Closest atoms and distances in Å follow each position.
Fractional positions:
Sc1 0.0000 0.5000 0.0000  2 Au 2.51
Sc2 0.5000 0.0000 0.0000  2 Au 2.51
Tc1 0.0000 0.0000 0.5000  8 Sc 3.41, 4 Ni 3.56
Ni1 0.5000 0.5000 0.5000  2 Au 2.30
Au1 0.5000 0.5000 0.0000  2 Ni 2.30, 4 Sc 2.51

- crystal system = tetragonal

***

# 2
A geometry-optimized ScTiNiAu structure, computed with PBE-GGA.

Lattice parameters (Å, degrees): 6.4575 6.4575 6.4575 90.00 90.00 90.00
Closest atoms and distances in Å follow each position.
Fractional positions:
Sc1 0.0000 0.0000 0.0000  4 Ni 2.80, 4 Au 2.80
Sc2 0.0000 0.5000 0.5000  4 Ni 2.80, 4 Au 2.80
Sc3 0.5000 0.0000 0.5000  4 Ni 2.80, 4 Au 2.80
Sc4 0.5000 0.5000 0.0000  4 Ni 2.80, 4 Au 2.80
Ti1 0.0000 0.0000 0.5000  4 Au 2.80, 4 Ni 2.80
Ti2 0.0000 0.5000 0.0000  4 Au 2.80, 4 Ni 2.80
Ti3 0.5000 0.0000 0.0000  4 Au 2.80, 4 Ni 2.80
Ti4 0.5000 0.5000 0.5000  4 Au 2.80, 4 Ni 2.80
Ni1 0.2500 0.2500 0.2500  4 Ti 2.80, 4 Sc 2.80
Ni2 0.2500 0.7500 0.7500  4 Ti 2.80, 4 Sc 2.80
Ni3 0.7500 0.2500 0.7500  4 Ti 2.80, 4 Sc 2.80
Ni4 0.7500 0.7500 0.2500  4 Ti 2.80, 4 Sc 2.80
Au1 0.2500 0.2500 0.7500  4 Sc 2.80, 4 Ti 2.80
Au2 0.2500 0.7500 0.2500  4 Sc 2.80, 4 Ti 2.80
Au3 0.7500 0.2500 0.2500  4 Sc 2.80, 4 Ti 2.80
Au4 0.7500 0.7500 0.7500  4 Sc 2.80, 4 Ti 2.80

- crystal system = cubic

***

# 3
A geometry-optimized ScV2NiAu structure, computed with PBE-GGA.

Lattice parameters (Å, degrees): 4.3366 4.3366 4.9472 90.00 90.00 90.00
Closest atoms and distances in Å follow each position.
Fractional positions:
Sc1 0.0000 0.0000 0.0000  4 V 2.17
V1 0.0000 0.5000 0.0000  2 Sc 2.17
V2 0.5000 0.0000 0.0000  2 Sc 2.17
Ni1 0.5000 0.5000 0.5000  4 Au 3.07, 8 V 3.29
Au1 0.0000 0.0000 0.5000  2 Sc 2.47

- crystal system = tetragonal

***

# 4
A geometry-optimized YScNiAu structure, computed with PBE-GGA.

Lattice parameters (Å, degrees): 6.8316 6.8316 6.8316 90.00 90.00 90.00
Closest atoms and distances in Å follow each position.
Fractional positions:
Y1 0.0000 0.0000 0.0000  4 Ni 2.96, 4 Au 2.96
Y2 0.0000 0.5000 0.5000  4 Ni 2.96, 4 Au 2.96
Y3 0.5000 0.0000 0.5000  4 Ni 2.96, 4 Au 2.96
Y4 0.5000 0.5000 0.0000  4 Ni 2.96, 4 Au 2.96
Sc1 0.0000 0.0000 0.5000  4 Ni 2.96, 4 Au 2.96
Sc2 0.0000 0.5000 0.0000  4 Ni 2.96, 4 Au 2.96
Sc3 0.5000 0.0000 0.0000  4 Ni 2.96, 4 Au 2.96
Sc4 0.5000 0.5000 0.5000  4 Ni 2.96, 4 Au 2.96
Ni1 0.2500 0.2500 0.7500  4 Sc 2.96, 4 Y 2.96
Ni2 0.2500 0.7500 0.2500  4 Sc 2.96, 4 Y 2.96
Ni3 0.7500 0.2500 0.2500  4 Sc 2.96, 4 Y 2.96
Ni4 0.7500 0.7500 0.7500  4 Sc 2.96, 4 Y 2.96
Au1 0.2500 0.2500 0.2500  4 Sc 2.96, 4 Y 2.96
Au2 0.2500 0.7500 0.7500  4 Sc 2.96, 4 Y 2.96
Au3 0.7500 0.2500 0.7500  4 Sc 2.96, 4 Y 2.96
Au4 0.7500 0.7500 0.2500  4 Sc 2.96, 4 Y 2.96

- crystal system = cubic

***

# 5
A geometry-optimized ScZnNiAu structure, computed with PBE-GGA.

Lattice parameters (Å, degrees): 6.3475 6.3475 6.3475 90.00 90.00 90.00
Closest atoms and distances in Å follow each position.
Fractional positions:
Sc1 0.0000 0.0000 0.0000  4 Au 2.75, 4 Ni 2.75
Sc2 0.0000 0.5000 0.5000  4 Au 2.75, 4 Ni 2.75
Sc3 0.5000 0.0000 0.5000  4 Au 2.75, 4 Ni 2.75
Sc4 0.5000 0.5000 0.0000  4 Au 2.75, 4 Ni 2.75
Zn1 0.0000 0.0000 0.5000  4 Ni 2.75, 4 Au 2.75
Zn2 0.0000 0.5000 0.0000  4 Ni 2.75, 4 Au 2.75
Zn3 0.5000 0.0000 0.0000  4 Ni 2.75, 4 Au 2.75
Zn4 0.5000 0.5000 0.5000  4 Ni 2.75, 4 Au 2.75
Ni1 0.2500 0.2500 0.7500  4 Sc 2.75, 4 Zn 2.75
Ni2 0.2500 0.7500 0.2500  4 Sc 2.75, 4 Zn 2.75
Ni3 0.7500 0.2500 0.2500  4 Sc 2.75, 4 Zn 2.75
Ni4 0.7500 0.7500 0.7500  4 Sc 2.75, 4 Zn 2.75
Au1 0.2500 0.2500 0.2500  4 Sc 2.75, 4 Zn 2.75
Au2 0.2500 0.7500 0.7500  4 Zn 2.75, 4 Sc 2.75
Au3 0.7500 0.2500 0.7500  4 Zn 2.75, 4 Sc 2.75
Au4 0.7500 0.7500 0.2500  4 Zn 2.75, 4 Sc 2.75

- crystal system = cubic

***

# 6
A geometry-optimized Sc4ZnNiAu2 structure, computed with PBE-GGA.

Lattice parameters (Å, degrees): 8.1599 8.1599 8.1599 33.76 33.76 33.76
Closest atoms and distances in Å follow each position.
Fractional positions:
Sc1 0.1197 0.1197 0.1197  1 Ni 2.76, 4 Au 2.83-2.88, 3 Zn 2.94
Sc2 0.3708 0.3708 0.3708  3 Ni 2.87, 4 Au 2.91-2.98, 1 Zn 2.98
Sc3 0.6292 0.6292 0.6292  3 Ni 2.87, 4 Au 2.91-2.98, 1 Zn 2.98
Sc4 0.8803 0.8803 0.8803  1 Ni 2.76, 4 Au 2.83-2.88, 3 Zn 2.94
Zn1 0.5000 0.5000 0.5000  8 Sc 2.94-2.98, 6 Au 3.27
Ni1 0.0000 0.0000 0.0000  8 Sc 2.76-2.87
Au1 0.2447 0.2447 0.2447  8 Sc 2.83-2.98
Au2 0.7553 0.7553 0.7553  8 Sc 2.83-2.98

- crystal system = trigonal

***

The records above give, respectively, calculated density values of 6.32; 8.60; 7.18; 8.11; 9.51; 7.75 g cm⁻³.
The records above give, respectively, total moment values of 0.49; 0.00; 0.35; 0.00; 0.00; 0.00 μB/atom.
The records above give, respectively, energy relative to the elements values of 84.25; -38.42; 156.40; -55.12; -44.15; -59.05 kJ/mol of atoms.